Compound: Ce4GeBi2Se
Source: Alexandria via LeMat-Bulk
Functional: PBE-GGA
Structure: relaxed

```
Ce4GeBi2Se
1.0
4.388 0.000 0.000
0.000 7.724 -0.199
0.000 2.673 7.085
Ce Ge Bi Se
4 1 2 1
Direct
0.000 0.727 0.755
0.000 0.273 0.245
0.500 0.726 0.261
0.500 0.274 0.739
0.000 0.500 0.500
0.000 0.000 0.000
0.500 0.000 0.500
0.500 0.500 0.000
```

Properties
- DOS(E_F): 23.39 states/eV/cell
- Calculated density: 7.7 g cm⁻³
- Symmetry: P2/m, No. 10
- DFT total energy: -5.97 eV per atom
- Energy relative to the elements, uncorrected: -789 kJ/mol of formula units